HfZnP2, optimized geometry, DFT PBE; space-group type = I-42d, No. 122
1.0
5.714 0.000 0.000
0.000 5.714 0.000
2.857 2.857 5.682
P Zn Hf
4 2 2
Direct
0.613 0.125 0.250
0.137 0.625 0.250
0.375 0.387 0.750
0.875 0.863 0.750
0.500 0.500 0.000
0.250 0.750 0.500
0.000 0.000 0.000
0.750 0.250 0.500

=====

Hf2ZnP, optimized geometry, DFT PBE; space-group type = R3m, No. 160
1.0
3.538 0.000 0.000
1.769 3.064 0.000
1.769 1.021 7.135
Hf Zn P
2 1 1
Direct
0.070 0.070 0.791
0.263 0.263 0.210
0.500 0.500 0.501
0.667 0.667 0.998

=====

Values of uncorrected energy, in order: -0.4361 -0.5315, all in Ry per atom.
Values of ρ, in order: 5.474 9.733, all in g/cm³.
Values of calculated formation energy, in order: -0.422 -0.584, all in eV/atom.